The following is a PBE calculation of a relaxed NbTcNO crystal, from the Open Quantum Materials Database.

Cell lengths 3.8452, 3.8452, 6.2229 Å; angles 90.00, 90.00, 90.00 degrees
Atoms (fractional coordinates):
Nb 0.0000 0.5000 0.8602
Nb 0.5000 0.0000 0.1398
Tc 0.0000 0.0000 0.5000
Tc 0.5000 0.5000 0.5000
O 0.0000 0.0000 0.0000
O 0.5000 0.5000 0.0000
N 0.5000 0.0000 0.6415
N 0.0000 0.5000 0.3585

Summary:
Energy above the most stable polymorph in this dataset = 0.321 eV per atom
E = -8.9839 eV/atom

---

The following is a PBE calculation of a relaxed DyY2Sc2S7 crystal, from the Open Quantum Materials Database.

Cell lengths 6.4854, 6.4854, 11.3729 Å; angles 104.46, 104.46, 33.51 degrees
Atoms (fractional coordinates):
S 0.9677 0.9677 0.2238
S 0.3377 0.3377 0.9466
S 0.2641 0.2641 0.6384
S 0.5000 0.5000 0.5000
S 0.0323 0.0323 0.7762
S 0.7359 0.7359 0.3616
S 0.6623 0.6623 0.0534
Sc 0.8887 0.8887 0.5709
Sc 0.1113 0.1113 0.4291
Y 0.3036 0.3036 0.2009
Y 0.6964 0.6964 0.7991
Dy 0.0000 0.0000 0.0000

Summary:
E = -6.9431 eV/atom

---

The following is a PBE calculation of a relaxed HoOsNO crystal, from the Open Quantum Materials Database.

Cell lengths 3.8088, 3.8088, 7.4806 Å; angles 90.00, 90.00, 90.00 degrees
Atoms (fractional coordinates):
Os 0.5000 0.5000 0.5000
Os 0.0000 0.0000 0.5000
N 0.5000 0.0000 0.3733
N 0.0000 0.5000 0.6267
O 0.5000 0.5000 0.0000
O 0.0000 0.0000 0.0000
Ho 0.0000 0.5000 0.1479
Ho 0.5000 0.0000 0.8521

Summary:
Energy above the most stable polymorph in this dataset = 0.000 eV per atom
E = -8.5541 eV/atom

---

The following is a PBE calculation of a relaxed CsYBAu crystal, from the Open Quantum Materials Database.

Cell lengths 5.0322, 5.0322, 5.0322 Å; angles 60.00, 60.00, 60.00 degrees
Atoms (fractional coordinates):
Y 0.2500 0.2500 0.2500
Cs 0.5000 0.5000 0.5000
B 0.0000 0.0000 0.0000
Au 0.7500 0.7500 0.7500

Summary:
Energy above the most stable polymorph in this dataset = 0.151 eV per atom
E = -3.3347 eV/atom